! Cr2Cd2CoO6 | Alexandria via LeMat-Bulk | PBE with a Hubbard U | relaxed; values from VASP
! theoretical density: 6.1 Mg/m³
! SG: C2/m (12)
! VASP energy: -66.6 eV/cell
&SYSTEM
  ibrav = 0, nat = 11, ntyp = 4
/
ATOMIC_SPECIES
Cr 52.00 Cr.upf
Cd 112.41 Cd.upf
Co 58.93 Co.upf
O 16.00 O.upf
ATOMIC_POSITIONS crystal
Cr 0.1637 0.8363 0.0000
Cr 0.8363 0.1637 0.0000
Cd 0.3391 0.6609 0.5000
Cd 0.6609 0.3391 0.5000
Co 0.5000 0.5000 0.0000
O 0.0886 0.4491 0.7964
O 0.2366 0.2366 0.1937
O 0.4491 0.0886 0.7964
O 0.5509 0.9114 0.2036
O 0.7634 0.7634 0.8063
O 0.9114 0.5509 0.2036
CELL_PARAMETERS angstrom
2.6085 -4.6515 0.0000
2.6085 4.6515 0.0000
-1.6112 0.0000 5.3937